## TmScAgSn (PBE-GGA)

Data for a geometry-optimized TmScAgSn structure.

Computed properties:
- D(E_F): 3.6 states/eV/f.u.
- DFT total energy: -4.88 eV per atom
- Energy of formation: -0.468 eV per atom
- Crystal system: cubic

a b c (Å): 7.148 7.148 7.148
angles (deg): 90.00 90.00 90.00
Space group F-43m (No. 216)
Inequivalent atoms, fractional coordinates:
Tm 0.000 0.000 0.000 x4
Sc 0.000 0.000 0.500 x4
Ag 0.250 0.250 0.750 x4
Sn 0.250 0.250 0.250 x4